Computed, not measured: a geometry-optimized NbOF2 structure at the PBE level of DFT.

Geometry as POSCAR:
```
NbOF2
1.0
0.000 2.662 2.662
2.662 0.000 2.662
2.662 2.662 0.000
Nb O F
1 1 2
direct
0.000 0.000 0.000
0.500 0.500 0.500
0.250 0.250 0.250
0.750 0.750 0.750
```

- Fermi-level density of states: 0.43 states/eV per atom
- ΔE_f (raw): -1.43 eV/atom